i.
This record from the Alexandria database describes a relaxed VRhSe4 crystal. The functional is PBE-GGA.

a = 5.9607 Å, b = 6.0219 Å, c = 9.0835 Å
α = 103.15°, β = 102.89°, γ = 108.48°
Closest atoms and distances in Å follow each position.
Fractional positions:
V (0.4119, 0.1619, 0.8238)  2 Se 2.28
V (0.5881, 0.8381, 0.1762)  2 Se 2.28
Rh (0.9301, 0.6801, 0.8602)  6 Se 2.50-2.52
Rh (0.0699, 0.3199, 0.1398)  6 Se 2.50-2.52
Se (0.4358, 0.6697, 0.3518)  1 V 2.28, 1 Rh 2.50
Se (0.7082, 0.9624, 0.9285)  2 Rh 2.51-2.52, 2 V 2.57-2.70
Se (0.0841, 0.8179, 0.6482)  1 V 2.28, 1 Rh 2.50
Se (0.7797, 0.5339, 0.0715)  2 Rh 2.51-2.52, 2 V 2.57-2.70
Se (0.5642, 0.3303, 0.6482)  1 V 2.28, 1 Rh 2.50
Se (0.9159, 0.1821, 0.3518)  1 V 2.28, 1 Rh 2.50
Se (0.2918, 0.0376, 0.0715)  2 Rh 2.51-2.52, 2 V 2.57-2.70
Se (0.2203, 0.4661, 0.9285)  2 Rh 2.51-2.52, 2 V 2.57-2.70

Calculated values
D(E_F) ... 5.275 states/eV per cell
Magnetic moment ... 0.000 μB per atom

---

ii.
This record from the Alexandria database describes a relaxed VRhSe4 crystal. The functional is PBE-GGA.

a = 3.4840 Å, b = 5.9226 Å, c = 12.5692 Å
α = 88.81°, β = 90.00°, γ = 90.00°
Closest atoms and distances in Å follow each position.
Fractional positions:
V (0.5000, 0.5000, 0.5000)  6 Se 2.50-2.51
V (0.0000, 0.0000, 0.0000)  6 Se 2.50-2.51
Rh (0.0000, 0.0000, 0.5000)  6 Se 2.51
Rh (0.5000, 0.5000, 0.0000)  6 Se 2.51
Se (0.5000, 0.1707, 0.3790)  1 V 2.50, 2 Rh 2.51
Se (0.0000, 0.3293, 0.1210)  1 V 2.50, 2 Rh 2.51
Se (0.5000, 0.8293, 0.6210)  1 V 2.50, 2 Rh 2.51
Se (0.0000, 0.6707, 0.8790)  1 V 2.50, 2 Rh 2.51
Se (0.0000, 0.6688, 0.3782)  2 V 2.51, 1 Rh 2.51
Se (0.5000, 0.8312, 0.1218)  2 V 2.51, 1 Rh 2.51
Se (0.0000, 0.3312, 0.6218)  2 V 2.51, 1 Rh 2.51
Se (0.5000, 0.1688, 0.8782)  2 V 2.51, 1 Rh 2.51

Calculated values
D(E_F) ... 9.397 states/eV per cell
Magnetic moment ... 0.129 μB per atom

---

Verdict on stability: ii comes out on top.

---

i.
This record from the Alexandria database describes a relaxed VRhSe3 crystal. The functional is PBE-GGA.

a = 3.2596 Å, b = 6.6698 Å, c = 11.2613 Å
α = 115.99°, β = 90.00°, γ = 90.00°
Closest atoms and distances in Å follow each position.
Fractional positions:
V (0.2500, 0.1497, 0.1033)  5 Se 2.45-2.46
V (0.7500, 0.8503, 0.8967)  5 Se 2.45-2.46
Rh (0.2500, 0.1538, 0.6608)  5 Se 2.43-2.57
Rh (0.7500, 0.8462, 0.3392)  5 Se 2.43-2.57
Se (0.2500, 0.1105, 0.8769)  3 V 2.45-2.46, 1 Rh 2.57
Se (0.7500, 0.8895, 0.1231)  3 V 2.45-2.46, 1 Rh 2.57
Se (0.2500, 0.1427, 0.4392)  3 Rh 2.43-2.46
Se (0.7500, 0.8573, 0.5608)  3 Rh 2.43-2.46
Se (0.2500, 0.5750, 0.7537)  2 V 2.46, 1 Rh 2.53
Se (0.7500, 0.4250, 0.2463)  2 V 2.46, 1 Rh 2.53

Calculated values
D(E_F) ... 5.722 states/eV per cell
Magnetic moment ... 0.000 μB per atom

---

ii.
This record from the Alexandria database describes a relaxed VRhSe3 crystal. The functional is PBE-GGA.

a = 4.7315 Å, b = 4.7315 Å, c = 4.7315 Å
α = 90.00°, β = 90.00°, γ = 90.00°
Closest atoms and distances in Å follow each position.
Fractional positions:
Rh (0.5000, 0.5000, 0.5000)  12 Se 3.35
Se (0.0000, 0.5000, 0.0000)  2 V 2.37
Se (0.0000, 0.0000, 0.5000)  2 V 2.37
Se (0.5000, 0.0000, 0.0000)  2 V 2.37
V (0.0000, 0.0000, 0.0000)  6 Se 2.37

Calculated values
D(E_F) ... 4.538 states/eV per cell
Magnetic moment ... 0.031 μB per atom

---

Verdict on stability: i comes out on top.

---

i.
This record from the Alexandria database describes a relaxed RhWSe crystal. The functional is PBE-GGA.

a = 2.9962 Å, b = 2.9962 Å, c = 6.2868 Å
α = 90.00°, β = 90.00°, γ = 120.00°
Closest atoms and distances in Å follow each position.
Fractional positions:
Rh (0.0000, 0.0000, 0.9854)  3 W 2.69, 3 Se 2.90, 6 Rh 3.00
Se (0.6667, 0.3333, 0.3561)  3 W 2.57
W (0.3333, 0.6667, 0.6585)  3 Se 2.57, 3 Rh 2.69

Calculated values
D(E_F) ... 1.683 states/eV per cell
Magnetic moment ... 0.000 μB per atom

---

ii.
This record from the Alexandria database describes a relaxed RhWSe crystal. The functional is PBE-GGA.

a = 4.1550 Å, b = 4.1550 Å, c = 4.1550 Å
α = 60.00°, β = 60.00°, γ = 60.00°
Closest atoms and distances in Å follow each position.
Fractional positions:
Rh (0.5000, 0.5000, 0.5000)  4 Se 2.54
Se (0.7500, 0.7500, 0.7500)  4 W 2.54, 4 Rh 2.54
W (0.0000, 0.0000, 0.0000)  4 Se 2.54

Calculated values
D(E_F) ... 1.758 states/eV per cell
Magnetic moment ... 0.000 μB per atom

---

iii.
This record from the Alexandria database describes a relaxed RhWSe crystal. The functional is PBE-GGA.

a = 5.6738 Å, b = 5.6738 Å, c = 3.0159 Å
α = 74.59°, β = 74.59°, γ = 30.83°
Closest atoms and distances in Å follow each position.
Fractional positions:
Rh (0.0103, 0.0103, 0.9897)  4 W 2.71, 4 Se 2.92, 4 Rh 3.02
Se (0.3202, 0.3202, 0.6798)  4 W 2.66, 4 Rh 2.92
W (0.6696, 0.6696, 0.3304)  4 Se 2.66, 4 Rh 2.71

Calculated values
D(E_F) ... 1.849 states/eV per cell
Magnetic moment ... 0.000 μB per atom

---

iv.
This record from the Alexandria database describes a relaxed RhWSe crystal. The functional is PBE-GGA.

a = 4.2577 Å, b = 4.2577 Å, c = 4.2577 Å
α = 60.00°, β = 60.00°, γ = 60.00°
Closest atoms and distances in Å follow each position.
Fractional positions:
Rh (0.0000, 0.0000, 0.0000)  4 W 2.61
Se (0.5000, 0.5000, 0.5000)  4 W 2.61
W (0.7500, 0.7500, 0.7500)  4 Se 2.61, 4 Rh 2.61

Calculated values
D(E_F) ... 2.398 states/eV per cell
Magnetic moment ... 0.000 μB per atom

---

Verdict on stability: iii comes out on top.